The following is a DFT calculation (PBE-GGA) of Ni6H19Pd4 after structural relaxation.

Total energy ... -117.7 eV/cell
ρ ... 6.48 g/cm³
SG ... I23, No. 197

```
29
Lattice="-0.6127 3.7766 5.1641 -3.6482 2.2868 -4.7715 -1.8890 -5.9642 1.4715" Properties=species:S:1:pos:R:3 pbc="T T T"
Ni -3.6020 -2.5674 0.5604
Ni -2.5479 2.6666 1.3037
Ni -3.4797 -0.8268 -1.5845
Ni -2.6702 0.9260 3.4485
Ni -3.9749 1.8067 -0.9030
Ni -2.1749 -1.7075 2.7670
H -1.6586 -1.4504 4.3993
H -0.8431 -0.7372 2.2362
H -1.4359 2.0434 0.1323
H -2.8249 4.0201 0.2603
H -3.6712 -2.4381 -2.1879
H -1.8660 -1.2393 -1.1121
H 0.0000 0.0000 0.0000
H -2.6224 -1.4129 1.2060
H -3.0437 -2.8762 3.5436
H -4.0040 2.1903 0.7020
H -3.3003 3.7004 2.3473
H -2.6296 2.2973 -1.7235
H -2.3903 1.1129 1.8374
H -2.2303 -3.1899 -0.1142
H -4.3789 -1.4249 -0.3424
H -1.0302 0.9876 3.6230
H -4.8399 -0.6437 -2.5011
H -3.1323 0.4315 -0.5746
H -3.2974 -0.5769 3.1807
Pd -1.3481 -4.2564 1.0501
Pd -2.6036 1.6320 -3.4052
Pd -1.7609 0.0284 0.5338
Pd -0.4372 2.6952 3.6854
```


The following is a DFT calculation (PBE-GGA) of NiH4Pd after structural relaxation.

Total energy ... -48.0 eV/cell
ρ ... 7.16 g/cm³
SG ... C2/c, No. 15

```
12
Lattice="-0.0416 3.2688 -2.7713 1.1151 -2.5669 -3.2431 -4.6296 -1.0779 1.9897" Properties=species:S:1:pos:R:3 pbc="T T T"
Ni -0.4763 -0.6473 -2.5681
Ni -3.0798 0.2713 -1.4566
H -4.3514 1.4720 -1.6787
H -3.8459 -1.2872 -1.7067
H -1.7747 -0.9005 -1.4278
H -1.7814 0.5245 -2.5968
H -1.2027 -2.1900 -3.0139
H 0.2897 0.9111 -2.3179
H -2.3534 1.8139 -1.0108
H 0.7952 -1.8480 -2.3460
Pd -2.5048 -2.6316 -1.6918
Pd -1.0514 2.2556 -2.3328
```


The following is a DFT calculation (PBE-GGA) of Ni2H2Pd after structural relaxation.

Total energy ... -23.5 eV/cell
ρ ... 8.72 g/cm³
SG ... I4/mmm, No. 139
Energy above the most stable polymorph in this dataset ... 5 meV/atom

```
5
Lattice="-0.1642 1.4919 -2.4112 -2.5046 -1.2086 -0.5772 -1.1597 3.7854 4.0939" Properties=species:S:1:pos:R:3 pbc="T T T"
Ni -1.6757 2.6385 1.7466
Ni -2.1528 1.4303 -0.6411
H -1.3292 2.7095 0.0942
H -2.4993 1.3593 1.0113
Pd 0.0000 0.0000 0.0000
```


The following is a DFT calculation (PBE-GGA) of NiH2Pd after structural relaxation.

Total energy ... -17.8 eV/cell
ρ ... 9.02 g/cm³
SG ... R-3m, No. 166
Energy above the most stable polymorph in this dataset ... 19 meV/atom

```
4
Lattice="-2.1718 0.1356 1.7532 -2.3959 -1.2872 -0.6414 -0.0624 -4.1482 2.4706" Properties=species:S:1:pos:R:3 pbc="T T T"
Ni 0.0000 0.0000 0.0000
Pd -2.3151 -2.6499 1.7911
H -1.2330 -1.1304 0.7871
H -3.3972 -4.1693 2.7952
```


The following is a DFT calculation (PBE-GGA) of NiH4Pd4 after structural relaxation.

Total energy ... -39.6 eV/cell
ρ ... 8.73 g/cm³
SG ... P1, No. 1

```
9
Lattice="4.0486 0.7100 -3.2283 -0.3040 4.0994 -3.2301 -0.6578 -0.8469 6.6602" Properties=species:S:1:pos:R:3 pbc="T T T"
Ni 3.0800 3.9592 0.0381
H 1.6134 2.0724 1.3917
H 0.8255 3.7336 -2.2130
H -0.0234 -0.0353 3.9267
H 3.4178 1.7153 -2.2051
Pd 2.0918 0.4756 -1.6510
Pd -0.0528 2.1453 -1.6570
Pd 0.6662 0.8501 2.3634
Pd 2.6010 3.3385 -2.4154
```


The following is a DFT calculation (PBE-GGA) of Ni3H12Pd5 after structural relaxation.

Total energy ... -330.6 eV/cell
ρ ... 7.89 g/cm³
SG ... Ia-3d, No. 230

```
80
Lattice="9.2336 0.0000 0.0000 -3.0779 8.7055 0.0000 -3.0779 -4.3528 7.5392" Properties=species:S:1:pos:R:3 pbc="T T T"
Ni 5.3863 2.7205 0.9424
Ni 5.3863 5.9851 0.9424
Ni -0.7695 3.8087 4.7120
Ni 0.7695 -0.5441 2.8272
Ni 6.9252 0.0000 1.8848
Ni 0.7695 4.3528 1.8848
Ni 2.3084 0.0000 5.6544
Ni -3.8473 4.3528 5.6544
Ni 2.3084 4.8969 4.7120
Ni 3.8473 0.5441 2.8272
Ni -2.3084 -1.6323 6.5968
Ni -2.3084 1.6323 6.5968
Pd -0.7695 2.1764 1.8848
Pd -1.5389 4.3528 0.0000
Pd 0.0000 0.0000 0.0000
Pd 2.3084 1.6323 0.9424
Pd 3.0779 -2.1764 3.7696
Pd 3.0779 4.3528 0.0000
Pd -2.3084 4.8969 2.8272
Pd 3.8473 -2.7205 6.5968
Pd 3.8473 3.8087 2.8272
Pd 0.7695 -2.1764 5.6544
Pd 2.3084 6.5292 1.8848
Pd 1.5389 2.1764 3.7696
Pd 4.6168 0.0000 0.0000
Pd -1.5389 -2.1764 3.7696
Pd -0.7695 0.5441 4.7120
Pd -0.7695 7.0733 0.9424
Pd -3.0779 2.1764 3.7696
Pd 5.3863 -0.5441 4.7120
Pd 0.7695 2.7205 6.5968
Pd 3.8473 2.1764 5.6544
H 6.0265 1.0948 0.4894
H 0.1293 3.1476 3.0662
H 6.7421 1.7873 2.0579
H 4.0304 1.2879 1.1928
H 0.9767 3.4472 4.9919
H 6.3091 4.4593 1.2223
H -0.5864 4.8523 3.2507
H -2.4915 7.4177 1.1928
H 0.5623 5.2584 4.9919
H 4.4634 4.2463 1.2223
H 4.7461 2.3000 2.5768
H 4.7461 7.6108 0.4894
H -2.5156 3.8704 4.2590
H 1.6923 3.2409 0.5189
H -3.2071 6.4056 2.5768
H 1.6682 -1.2052 4.4730
H -0.5623 0.4232 1.7117
H 1.6923 5.3581 0.7034
H 4.0304 6.9182 2.0579
H -0.1534 3.3475 0.7034
H -2.1012 4.7759 5.8275
H 2.1253 3.8533 3.2507
H 4.0545 4.8352 4.2590
H 3.2313 -1.1118 7.0203
H 0.9525 0.4995 4.2885
H -0.9767 -0.4824 3.2802
H -0.1534 5.4646 0.5189
H -0.9525 -2.5654 5.4813
H 5.1791 -0.4232 1.7117
H 3.2313 1.0053 6.8358
H 1.3855 -1.0053 6.8358
H 1.4097 5.5580 3.0662
H 3.6401 3.9296 5.8275
H 6.2850 -2.0528 4.9624
H 5.5935 0.4824 3.2802
H -1.6682 -3.2580 7.0498
H 1.3855 1.1118 7.0203
H 2.5156 -0.9056 2.5473
H -1.3855 0.1065 6.3169
H -1.6682 2.0528 4.9624
H 5.5693 -3.0649 6.3464
H 3.6643 -0.4995 4.2885
H -0.9525 3.0649 6.3464
H -3.2313 -0.1065 6.3169
H 2.1012 0.9056 2.5473
H -3.6643 2.5654 5.4813
H 2.9486 1.2052 4.4730
H -2.9486 3.2580 7.0498
```


The lowest ρ belongs to which entry? Ni6H19Pd4